A geometry-optimized NaCd2Au structure, computed with PBE.

Output
As for the theoretical density: 7.9 Mg/m³. The calculation puts the electronic total energy at -1.85 eV per atom.

Cell lengths 5.680, 5.680, 8.024 Å; angles 90.00, 90.00, 134.07 degrees
Fractional coordinates of all 8 atoms:
Na  0.066  0.934  0.750
Na  0.934  0.066  0.250
Cd  0.366  0.634  0.555
Cd  0.366  0.634  0.945
Cd  0.634  0.366  0.055
Cd  0.634  0.366  0.445
Au  0.226  0.774  0.250
Au  0.774  0.226  0.750